(1)
Material: SmPHIr
Method: DFT, PBE-GGA
State: relaxed

Cell: 3.947 3.947 7.744 Å, 90.00 90.00 90.00°
Sites, in units of the cell vectors:
Sm (0.500, 0.000, 0.669)
P (0.000, 0.500, 0.820)
H (0.000, 0.000, 0.500)
P (0.500, 0.000, 0.180)
Ir (0.500, 0.500, 0.000)
Ir (0.000, 0.000, 0.000)
H (0.500, 0.500, 0.500)
Sm (0.000, 0.500, 0.331)

Values from the calculation:
N(E_F) in states/eV/atom: 0.419
E in eV/atom: -6.484
Total magnetization in μB/atom: 0.00

=====

(2)
Material: TbPHIr
Method: DFT, PBE-GGA
State: relaxed

Cell: 3.940 3.940 7.371 Å, 90.00 90.00 90.00°
Sites, in units of the cell vectors:
Tb (0.500, 0.000, 0.662)
P (0.500, 0.000, 0.191)
Ir (0.500, 0.500, 0.000)
H (0.000, 0.000, 0.500)
Tb (0.000, 0.500, 0.338)
Ir (0.000, 0.000, 0.000)
P (0.000, 0.500, 0.809)
H (0.500, 0.500, 0.500)

Values from the calculation:
N(E_F) in states/eV/atom: 0.396
E in eV/atom: -6.463
Total magnetization in μB/atom: 0.00

=====

(3)
Material: TcPHIr
Method: DFT, PBE-GGA
State: relaxed

Cell: 4.941 2.865 7.065 Å, 90.00 98.06 90.00°
Sites, in units of the cell vectors:
P (0.725, 0.000, 0.393)
P (0.725, 0.500, 0.893)
Tc (0.486, 0.000, 0.654)
H (0.280, 0.500, 0.523)
Ir (0.975, 0.500, 0.628)
Tc (0.486, 0.500, 0.154)
Ir (0.975, 0.000, 0.128)
H (0.280, 0.000, 0.023)

Values from the calculation:
N(E_F) in states/eV/atom: 0.513
E in eV/atom: -7.051
E above lowest polymorph in meV per atom: 97
Total magnetization in μB/atom: 0.00

=====

(4)
Material: TcPHIr
Method: DFT, PBE-GGA
State: relaxed

Cell: 4.318 2.852 8.186 Å, 90.00 105.29 90.00°
Sites, in units of the cell vectors:
H (0.240, 0.000, 0.967)
P (0.501, 0.500, 0.749)
Ir (0.056, 0.500, 0.248)
Tc (0.669, 0.500, 0.500)
P (0.501, 0.000, 0.249)
Tc (0.669, 0.000, 0.000)
H (0.240, 0.500, 0.467)
Ir (0.056, 0.000, 0.748)

Values from the calculation:
N(E_F) in states/eV/atom: 0.511
E in eV/atom: -7.030
E above lowest polymorph in meV per atom: 117
Total magnetization in μB/atom: 0.00

=====

(5)
Material: TcPHIr
Method: DFT, PBE-GGA
State: relaxed

Cell: 5.121 3.045 7.871 Å, 90.00 128.81 90.00°
Sites, in units of the cell vectors:
H (0.039, 0.000, 0.882)
Tc (0.943, 0.500, 0.711)
Ir (0.411, 0.000, 0.690)
Ir (0.411, 0.500, 0.190)
H (0.039, 0.500, 0.382)
P (0.535, 0.500, 0.948)
Tc (0.943, 0.000, 0.211)
P (0.535, 0.000, 0.448)

Values from the calculation:
N(E_F) in states/eV/atom: 0.568
E in eV/atom: -7.068
E above lowest polymorph in meV per atom: 80
Total magnetization in μB/atom: 0.00

=====

(6)
Material: TcPHIr
Method: DFT, PBE-GGA
State: relaxed

Cell: 4.574 2.895 8.497 Å, 90.00 120.65 90.00°
Sites, in units of the cell vectors:
P (0.635, 0.000, 0.572)
Tc (0.555, 0.000, 0.271)
Ir (0.139, 0.500, 0.360)
H (0.137, 0.500, 0.566)
Tc (0.555, 0.500, 0.771)
P (0.635, 0.500, 0.072)
H (0.137, 0.000, 0.066)
Ir (0.139, 0.000, 0.860)

Values from the calculation:
N(E_F) in states/eV/atom: 0.789
E in eV/atom: -7.063
E above lowest polymorph in meV per atom: 84
Total magnetization in μB/atom: 0.00

=====

(7)
Material: TcPHIr
Method: DFT, PBE-GGA
State: relaxed

Cell: 2.918 3.211 5.470 Å, 74.55 74.58 89.87°
Sites, in units of the cell vectors:
Tc (0.191, 0.248, 0.509)
P (0.592, 0.664, 0.709)
Ir (0.919, 0.296, 0.056)
H (0.819, 0.720, 0.193)

Values from the calculation:
N(E_F) in states/eV/atom: 0.360
E in eV/atom: -7.078
E above lowest polymorph in meV per atom: 70
Total magnetization in μB/atom: 0.00

=====

(8)
Material: TcPHIr
Method: DFT, PBE-GGA
State: relaxed

Cell: 3.961 4.038 2.891 Å, 90.00 90.00 90.00°
Sites, in units of the cell vectors:
H (0.500, 0.000, 0.143)
Ir (0.000, 0.000, 0.146)
Tc (0.500, 0.500, 0.140)
P (0.000, 0.500, 0.643)

Values from the calculation:
N(E_F) in states/eV/atom: 0.636
E in eV/atom: -7.090
E above lowest polymorph in meV per atom: 57
Total magnetization in μB/atom: 0.00

=====

(9)
Material: TcPHIr
Method: DFT, PBE-GGA
State: relaxed

Cell: 5.974 2.912 5.608 Å, 90.00 91.72 90.00°
Sites, in units of the cell vectors:
Ir (0.550, 0.500, 0.555)
P (0.793, 0.000, 0.380)
H (0.090, 0.500, 0.195)
Tc (0.185, 0.000, 0.384)
Tc (0.185, 0.500, 0.884)
P (0.793, 0.500, 0.880)
H (0.090, 0.000, 0.695)
Ir (0.550, 0.000, 0.055)

Values from the calculation:
N(E_F) in states/eV/atom: 0.788
E in eV/atom: -7.002
E above lowest polymorph in meV per atom: 145
Total magnetization in μB/atom: 0.00

=====

(10)
Material: TcPHIr
Method: DFT, PBE-GGA
State: relaxed

Cell: 3.314 2.933 10.362 Å, 90.00 90.00 90.00°
Sites, in units of the cell vectors:
P (0.000, 0.500, 0.057)
P (0.000, 0.000, 0.557)
Tc (0.500, 0.500, 0.468)
H (0.500, 0.500, 0.819)
Ir (0.500, 0.500, 0.207)
H (0.500, 0.000, 0.319)
Tc (0.500, 0.000, 0.968)
Ir (0.500, 0.000, 0.707)

Values from the calculation:
N(E_F) in states/eV/atom: 0.355
E in eV/atom: -7.124
E above lowest polymorph in meV per atom: 23
Total magnetization in μB/atom: 0.00

=====

(11)
Material: TcPHIr
Method: DFT, PBE-GGA
State: relaxed

Cell: 3.037 3.037 5.864 Å, 90.00 90.00 120.00°
Sites, in units of the cell vectors:
H (0.333, 0.667, 0.966)
P (0.667, 0.333, 0.381)
Tc (0.000, 0.000, 0.108)
Ir (0.000, 0.000, 0.643)

Values from the calculation:
N(E_F) in states/eV/atom: 0.389
E in eV/atom: -7.108
E above lowest polymorph in meV per atom: 39
Total magnetization in μB/atom: 0.00

=====

(12)
Material: TcPHIr
Method: DFT, PBE-GGA
State: relaxed

Cell: 3.209 4.225 4.265 Å, 90.98 112.06 112.13°
Sites, in units of the cell vectors:
P (0.174, 0.685, 0.544)
Ir (0.810, 0.071, 0.431)
H (0.679, 0.138, 0.014)
Tc (0.815, 0.571, 0.940)

Values from the calculation:
N(E_F) in states/eV/atom: 0.511
E in eV/atom: -7.147
E above lowest polymorph in meV per atom: 1
Total magnetization in μB/atom: 0.00

=====

Q: Which value of total magnetization does entry 8 give?
A: 0.00 μB/atom

=====

Q: What is the N(E_F) in the eleventh record?
A: 0.389 states/eV/atom

=====

Q: What is the formula in the fifth record?
A: TcPHIr